Entry 1:
ZnMoAu2: relaxed, PBE.

Computed properties:
Energy of formation: 0.281 eV/atom
Symmetry: Immm (71)

a = 5.5857 Å, b = 5.5857 Å, c = 5.5857 Å
α = 150.72°, β = 127.85°, γ = 60.93°
Positions (direct):
1 Zn 0.0000 0.0000 0.0000
2 Mo 0.5000 0.5000 0.0000
3 Au 0.2390 0.7390 0.5000
4 Au 0.7610 0.2610 0.5000

---

Entry 2:
Ba2HgTe2: relaxed, PBE.

Computed properties:
Symmetry: P4/mbm (127)
Raw formation energy: -632 kJ/mol of formula units
Energy above the most stable polymorph in this dataset: 0.0 meV/atom

a = 9.5304 Å, b = 9.5304 Å, c = 4.4449 Å
α = 90.00°, β = 90.00°, γ = 90.00°
Positions (direct):
1 Ba 0.1468 0.3532 0.0000
2 Ba 0.3532 0.8532 0.0000
3 Ba 0.6468 0.1468 0.0000
4 Ba 0.8532 0.6468 0.0000
5 Hg 0.0000 0.0000 0.0000
6 Hg 0.5000 0.5000 0.0000
7 Te 0.1545 0.6545 0.5000
8 Te 0.3455 0.1545 0.5000
9 Te 0.6545 0.8455 0.5000
10 Te 0.8455 0.3455 0.5000

---

Entry 3:
Zr2Bi2Pd: relaxed, PBE.

Computed properties:
Energy of formation: -0.171 eV/atom
Symmetry: P4/mbm (127)
Energy above the most stable polymorph in this dataset: 0.0 meV/atom

a = 7.5215 Å, b = 7.5215 Å, c = 4.2799 Å
α = 90.00°, β = 90.00°, γ = 90.00°
Positions (direct):
1 Zr 0.1511 0.3489 0.0000
2 Zr 0.3489 0.8489 0.0000
3 Zr 0.6511 0.1511 0.0000
4 Zr 0.8489 0.6511 0.0000
5 Bi 0.1587 0.6587 0.5000
6 Bi 0.3413 0.1587 0.5000
7 Bi 0.6587 0.8413 0.5000
8 Bi 0.8413 0.3413 0.5000
9 Pd 0.0000 0.0000 0.0000
10 Pd 0.5000 0.5000 0.0000

---

Entry 4:
LaZr2Bi: relaxed, PBE.

Computed properties:
Energy of formation: 0.258 eV/atom
Symmetry: I-42d (122)

a = 6.9232 Å, b = 6.9232 Å, c = 6.9232 Å
α = 101.92°, β = 101.92°, γ = 125.93°
Positions (direct):
1 La 0.0000 0.0000 0.0000
2 La 0.7500 0.2500 0.5000
3 Zr 0.1650 0.6250 0.0400
4 Zr 0.3750 0.4150 0.5400
5 Zr 0.5850 0.1250 0.9600
6 Zr 0.8750 0.8350 0.4600
7 Bi 0.2500 0.7500 0.5000
8 Bi 0.5000 0.5000 0.0000

---

Entry 5:
Ac4NiGe3: relaxed, PBE.

Computed properties:
Energy of formation: -0.577 eV/atom
Symmetry: Pmm2 (25)

a = 4.3127 Å, b = 4.6178 Å, c = 11.7699 Å
α = 90.00°, β = 90.00°, γ = 90.00°
Positions (direct):
1 Ac 0.0000 0.0000 0.0000
2 Ac 0.0000 0.5000 0.4867
3 Ac 0.5000 0.0000 0.7111
4 Ac 0.5000 0.5000 0.2171
5 Ni 0.0000 0.0000 0.3000
6 Ge 0.0000 0.5000 0.7820
7 Ge 0.5000 0.0000 0.4136
8 Ge 0.5000 0.5000 0.9270

---

Entry 6:
CaGeSb2Te: relaxed, PBE.

Computed properties:
Symmetry: P4/mmm (123)
Raw formation energy: 318 kJ/mol of formula units
Energy above the most stable polymorph in this dataset: 605.8 meV/atom

a = 5.7078 Å, b = 5.7078 Å, c = 5.7097 Å
α = 90.00°, β = 90.00°, γ = 90.00°
Positions (direct):
1 Ca 0.0000 0.0000 0.0000
2 Ge 0.5000 0.5000 0.5000
3 Sb 0.0000 0.5000 0.0000
4 Sb 0.5000 0.0000 0.0000
5 Te 0.0000 0.0000 0.5000

---

Entry 7:
Ca3Ac4Pb4: relaxed, PBE.

Computed properties:
Energy of formation: -0.407 eV/atom
Symmetry: Immm (71)

a = 11.5685 Å, b = 11.5685 Å, c = 11.5685 Å
α = 161.04°, β = 126.91°, γ = 56.88°
Positions (direct):
1 Ca 0.0000 0.0000 0.0000
2 Ca 0.4132 0.9132 0.5000
3 Ca 0.5868 0.0868 0.5000
4 Ac 0.0157 0.3364 0.6793
5 Ac 0.3428 0.6636 0.6793
6 Ac 0.6572 0.3364 0.3207
7 Ac 0.9843 0.6636 0.3207
8 Pb 0.2760 0.5000 0.7760
9 Pb 0.2810 0.2810 0.0000
10 Pb 0.7190 0.7190 0.0000
11 Pb 0.7240 0.5000 0.2240

---

Entry 8:
Ba8Cd2In3: relaxed, PBE.

Computed properties:
Energy of formation: -0.237 eV/atom
Symmetry: Cmmm (65)

a = 10.4913 Å, b = 10.4913 Å, c = 5.9934 Å
α = 90.00°, β = 90.00°, γ = 110.40°
Positions (direct):
1 Ba 0.1223 0.8777 0.0000
2 Ba 0.1295 0.3745 0.5000
3 Ba 0.3745 0.1295 0.5000
4 Ba 0.3762 0.6238 0.0000
5 Ba 0.6238 0.3762 0.0000
6 Ba 0.6255 0.8705 0.5000
7 Ba 0.8705 0.6255 0.5000
8 Ba 0.8777 0.1223 0.0000
9 Cd 0.2502 0.7498 0.5000
10 Cd 0.7498 0.2502 0.5000
11 In 0.2537 0.2537 0.0000
12 In 0.5000 0.5000 0.5000
13 In 0.7463 0.7463 0.0000

---

Entry 9:
Pr2Ge6Rh9: relaxed, PBE.

Computed properties:
Energy of formation: -0.636 eV/atom
Symmetry: P6/mmm (191)

a = 5.7281 Å, b = 5.7281 Å, c = 11.1087 Å
α = 90.00°, β = 90.00°, γ = 120.00°
Positions (direct):
1 Pr 0.0000 0.0000 0.1973
2 Pr 0.0000 0.0000 0.8027
3 Ge 0.3333 0.6667 0.1654
4 Ge 0.3333 0.6667 0.5000
5 Ge 0.3333 0.6667 0.8346
6 Ge 0.6667 0.3333 0.1654
7 Ge 0.6667 0.3333 0.5000
8 Ge 0.6667 0.3333 0.8346
9 Rh 0.0000 0.5000 0.0000
10 Rh 0.0000 0.5000 0.3326
11 Rh 0.0000 0.5000 0.6674
12 Rh 0.5000 0.0000 0.0000
13 Rh 0.5000 0.0000 0.3326
14 Rh 0.5000 0.0000 0.6674
15 Rh 0.5000 0.5000 0.0000
16 Rh 0.5000 0.5000 0.3326
17 Rh 0.5000 0.5000 0.6674

---

Entry 10:
GeTeI2N: relaxed, PBE.

Computed properties:
Symmetry: P4/mmm (123)
Raw formation energy: 446 kJ/mol of formula units
Energy above the most stable polymorph in this dataset: 251.1 meV/atom

a = 4.8830 Å, b = 4.8830 Å, c = 5.1747 Å
α = 90.00°, β = 90.00°, γ = 90.00°
Positions (direct):
1 Ge 0.0000 0.0000 0.0000
2 Te 0.5000 0.5000 0.0000
3 I 0.0000 0.5000 0.5000
4 I 0.5000 0.0000 0.5000
5 N 0.5000 0.5000 0.5000

---

Entry 11:
Pm2Y3HoBi6: relaxed, PBE.

Computed properties:
Energy of formation: -0.899 eV/atom
Symmetry: C2/m (12)

a = 7.8194 Å, b = 7.8194 Å, c = 7.8097 Å
α = 99.60°, β = 99.60°, γ = 120.02°
Positions (direct):
1 Pm 0.1658 0.8342 0.0000
2 Pm 0.8342 0.1658 0.0000
3 Y 0.0000 0.0000 0.5000
4 Y 0.3311 0.6689 0.5000
5 Y 0.6689 0.3311 0.5000
6 Ho 0.5000 0.5000 0.0000
7 Bi 0.0871 0.4161 0.7472
8 Bi 0.2567 0.2567 0.2551
9 Bi 0.4161 0.0871 0.7472
10 Bi 0.5839 0.9129 0.2528
11 Bi 0.7433 0.7433 0.7449
12 Bi 0.9129 0.5839 0.2528

---

Entry 12:
CaHgIr2: relaxed, PBE.

Computed properties:
Energy of formation: 0.200 eV/atom
Symmetry: I4/mmm (139)

a = 5.2079 Å, b = 5.2079 Å, c = 5.2079 Å
α = 133.24°, β = 133.24°, γ = 68.28°
Positions (direct):
1 Ca 0.0000 0.0000 0.0000
2 Hg 0.5000 0.5000 0.0000
3 Ir 0.2500 0.7500 0.5000
4 Ir 0.7500 0.2500 0.5000

---

Entry 13:
YTe2Pd2: relaxed, PBE.

Computed properties:
Symmetry: P4/mbm (127)
Raw formation energy: -252 kJ/mol of formula units
Energy above the most stable polymorph in this dataset: 120.6 meV/atom

a = 7.9392 Å, b = 7.9392 Å, c = 3.5917 Å
α = 90.00°, β = 90.00°, γ = 90.00°
Positions (direct):
1 Y 0.0000 0.0000 0.0000
2 Y 0.5000 0.5000 0.0000
3 Te 0.1606 0.3394 0.0000
4 Te 0.3394 0.8394 0.0000
5 Te 0.6606 0.1606 0.0000
6 Te 0.8394 0.6606 0.0000
7 Pd 0.1394 0.6394 0.5000
8 Pd 0.3606 0.1394 0.5000
9 Pd 0.6394 0.8606 0.5000
10 Pd 0.8606 0.3606 0.5000

---

Entry 14:
Ti2NbSb2: relaxed, PBE.

Computed properties:
Symmetry: Cmc2_1 (36)
Raw formation energy: -170 kJ/mol of formula units
Energy above the most stable polymorph in this dataset: 0.0 meV/atom

a = 7.8606 Å, b = 7.8606 Å, c = 6.7516 Å
α = 90.00°, β = 90.00°, γ = 150.66°
Positions (direct):
1 Ti 0.0265 0.9735 0.5000
2 Ti 0.1728 0.8272 0.8534
3 Ti 0.8272 0.1728 0.3534
4 Ti 0.9735 0.0265 0.0000
5 Nb 0.3670 0.6330 0.6660
6 Nb 0.6330 0.3670 0.1660
7 Sb 0.2033 0.7967 0.4371
8 Sb 0.4504 0.5496 0.2785
9 Sb 0.5496 0.4504 0.7785
10 Sb 0.7967 0.2033 0.9371

---

Entry 15:
KSc2Pb: relaxed, PBE.

Computed properties:
Energy of formation: 0.176 eV/atom
Symmetry: P2/m (10)

a = 3.4310 Å, b = 5.2084 Å, c = 6.9857 Å
α = 90.00°, β = 101.15°, γ = 90.00°
Positions (direct):
1 K 0.0000 0.0000 0.0000
2 Sc 0.3084 0.5000 0.6896
3 Sc 0.6916 0.5000 0.3104
4 Pb 0.5000 0.0000 0.5000

---

Entry 16:
Li3B8C8: relaxed, PBE.

Computed properties:
Energy of formation: 0.009 eV/atom
Symmetry: C2/m (12)
Energy above the most stable polymorph in this dataset: 2.5 meV/atom

a = 7.4211 Å, b = 7.4211 Å, c = 9.0454 Å
α = 106.03°, β = 106.03°, γ = 21.16°
Positions (direct):
1 Li 0.0000 0.0000 0.0000
2 Li 0.2527 0.2527 0.1648
3 Li 0.7473 0.7473 0.8352
4 B 0.0624 0.0624 0.3839
5 B 0.1335 0.1335 0.9182
6 B 0.3789 0.3789 0.8273
7 B 0.4221 0.4221 0.3460
8 B 0.5779 0.5779 0.6540
9 B 0.6211 0.6211 0.1727
10 B 0.8665 0.8665 0.0818
11 B 0.9376 0.9376 0.6161
12 C 0.1053 0.1053 0.7387
13 C 0.1068 0.1068 0.2486
14 C 0.3627 0.3627 0.9925
15 C 0.4585 0.4585 0.5408
16 C 0.5415 0.5415 0.4592
17 C 0.6373 0.6373 0.0075
18 C 0.8932 0.8932 0.7514
19 C 0.8947 0.8947 0.2613

---

Entry 17:
Hg2Se2S5: relaxed, PBE.

Computed properties:
Symmetry: C2 (5)
Raw formation energy: 62 kJ/mol of formula units

a = 12.2738 Å, b = 12.2738 Å, c = 4.4604 Å
α = 92.66°, β = 92.66°, γ = 54.68°
Positions (direct):
1 Hg 0.1619 0.1619 0.2476
2 Hg 0.2173 0.3848 0.6176
3 Hg 0.6152 0.7827 0.3824
4 Hg 0.8381 0.8381 0.7524
5 Se 0.0453 0.3356 0.6759
6 Se 0.3237 0.6763 0.0000
7 Se 0.6644 0.9547 0.3241
8 Se 0.9620 0.0380 0.5000
9 S 0.0485 0.6550 0.9970
10 S 0.1434 0.7243 0.2364
11 S 0.2757 0.8566 0.7636
12 S 0.3450 0.9515 0.0030
13 S 0.4034 0.3772 0.4070
14 S 0.4566 0.2541 0.0536
15 S 0.6228 0.5966 0.5930
16 S 0.7459 0.5434 0.9464
17 S 0.7975 0.1348 0.1494
18 S 0.8652 0.2025 0.8506

---

Entry 18:
UTlInF6: relaxed, PBE.

Computed properties:
Symmetry: P-31c (163)
Raw formation energy: -2406 kJ/mol of formula units

a = 6.9873 Å, b = 6.9873 Å, c = 9.0884 Å
α = 90.00°, β = 90.00°, γ = 120.00°
Positions (direct):
1 U 0.3333 0.6667 0.2500
2 U 0.6667 0.3333 0.7500
3 Tl 0.3333 0.6667 0.7500
4 Tl 0.6667 0.3333 0.2500
5 In 0.0000 0.0000 0.0000
6 In 0.0000 0.0000 0.5000
7 F 0.0717 0.3973 0.1219
8 F 0.0717 0.6743 0.3781
9 F 0.3257 0.3973 0.3781
10 F 0.3257 0.9283 0.1219
11 F 0.3973 0.0717 0.6219
12 F 0.3973 0.3257 0.8781
13 F 0.6027 0.6743 0.1219
14 F 0.6027 0.9283 0.3781
15 F 0.6743 0.0717 0.8781
16 F 0.6743 0.6027 0.6219
17 F 0.9283 0.3257 0.6219
18 F 0.9283 0.6027 0.8781

---

Entry 19:
PIrPt: relaxed, PBE.

Computed properties:
Energy of formation: -0.083 eV/atom
Symmetry: P3m1 (156)
Energy above the most stable polymorph in this dataset: 283.1 meV/atom

a = 2.9242 Å, b = 2.9242 Å, c = 5.9059 Å
α = 90.00°, β = 90.00°, γ = 120.00°
Positions (direct):
1 P 0.0000 0.0000 0.0000
2 Ir 0.3333 0.6667 0.7150
3 Pt 0.6667 0.3333 0.3105

---

Entry 20:
Mg5Al2Ga12: relaxed, PBE.

Computed properties:
Energy of formation: 0.020 eV/atom
Symmetry: C2/m (12)
Energy above the most stable polymorph in this dataset: 69.9 meV/atom

a = 7.5637 Å, b = 7.5637 Å, c = 8.4224 Å
α = 105.23°, β = 105.23°, γ = 58.65°
Positions (direct):
1 Mg 0.0000 0.0000 0.0000
2 Mg 0.2224 0.2224 0.9795
3 Mg 0.2925 0.2925 0.5755
4 Mg 0.7075 0.7075 0.4245
5 Mg 0.7776 0.7776 0.0205
6 Al 0.3121 0.6879 0.5000
7 Al 0.6879 0.3121 0.5000
8 Ga 0.0448 0.0448 0.6766
9 Ga 0.1009 0.5029 0.2909
10 Ga 0.2038 0.5791 0.8976
11 Ga 0.4209 0.7962 0.1024
12 Ga 0.4593 0.4593 0.2083
13 Ga 0.4971 0.8991 0.7091
14 Ga 0.5029 0.1009 0.2909
15 Ga 0.5407 0.5407 0.7917
16 Ga 0.5791 0.2038 0.8976
17 Ga 0.7962 0.4209 0.1024
18 Ga 0.8991 0.4971 0.7091
19 Ga 0.9552 0.9552 0.3234

---

no.,M_tot (μB per cell),electronic total energy (eV/cell)
1,0.53,-17.53
2,0.00,-33.96
3,0.00,-61.82
4,0.00,-49.75
5,0.01,-40.69
6,0.00,-14.71
7,0.00,-41.75
8,0.00,-28.51
9,0.00,-114.24
10,0.00,-14.56
11,0.00,-67.55
12,0.00,-19.22
13,0.00,-51.48
14,0.00,-71.74
15,0.00,-16.77
16,0.00,-132.78
17,0.00,-55.13
18,4.00,-105.11
19,0.00,-20.56
20,0.00,-51.41